This record from Alexandria describes a relaxed structure of SrLi4Cl. The functional is GGA-PBE.

Structure (POSCAR):
```
SrLi4Cl
1.0
1.026 -5.520 -2.404
1.493 -4.681 3.628
-3.988 -4.529 0.938
Li Cl Sr
4 1 1
Direct
0.877 0.374 0.374 Li
0.374 0.374 0.374 Li
0.374 0.877 0.374 Li
0.374 0.374 0.877 Li
0.000 0.000 0.000 Cl
0.750 0.750 0.750 Sr
```

raw total energy = -2.070 eV/atom
crystal system = cubic
V = 26.8 A^3/atom
spin magnetization = 0.00 μB/cell
space group = F-43m, No. 216